# VCrNO2 | Alexandria via LeMat-Bulk | PBE with a Hubbard U | relaxed
# DOS at the Fermi energy: 0.960 states/eV/atom
# E_tot: -6.83 eV per atom
data_VCrNO2
_space_group_name_H-M_alt 'P 4/m m m'
_space_group_IT_number 123
_space_group_name_Hall '-P 4 2'
_cell_length_a 3.815
_cell_length_b 3.815
_cell_length_c 3.692
_cell_angle_alpha 90.00
_cell_angle_beta 90.00
_cell_angle_gamma 90.00
loop_
_atom_site_label
_atom_site_fract_x
_atom_site_fract_y
_atom_site_fract_z
V1 0.000 0.000 0.000
Cr1 0.500 0.500 0.500
N1 0.500 0.500 0.000
O1 0.000 0.500 0.500